First-principles (meta-GGA SCAN) data for TlIrSe2 at its PBEsol-relaxed geometry, as listed in the Alexandria database. Values from VASP.

Results
E above lowest polymorph	0	meV per atom
calculated density	10353	kg/m3

Structure (Quantum ESPRESSO input):
```
&SYSTEM
  ibrav = 0, nat = 4, ntyp = 3
/
ATOMIC_SPECIES
Tl 204.38 Tl.upf
Ir 192.22 Ir.upf
Se 78.96 Se.upf
ATOMIC_POSITIONS angstrom
Tl 0.000 0.000 0.000
Ir 0.000 0.000 10.479
Se 0.000 0.000 4.677
Se 0.000 0.000 16.281
CELL_PARAMETERS angstrom
1.917 1.107 6.986
-1.917 1.107 6.986
0.000 -2.214 6.986
```